GGA-PBE CePmAl2Ga2, relaxed; energy relative to the elements = -0.548 eV/atom; space group = P-3m1 (164)
1.0
-3.418 -2.647 -0.105
3.827 -1.464 1.380
-1.976 2.240 7.854
Pm Ga Al Ce
1 2 2 1
direct
0.000 0.000 0.500 Pm
0.333 0.667 0.246 Ga
0.667 0.333 0.754 Ga
0.333 0.667 0.753 Al
0.667 0.333 0.247 Al
0.000 0.000 0.000 Ce


GGA-PBE MnPb2, relaxed; energy relative to the elements = 0.356 eV/atom; space group = Fm-3m (225)
1.0
-2.368 -3.469 2.453
1.626 -1.444 4.351
-2.486 1.133 4.025
Pb Mn
2 1
direct
0.750 0.750 0.750 Pb
0.250 0.250 0.250 Pb
0.000 0.000 0.000 Mn


GGA-PBE KBeOs2, relaxed; energy relative to the elements = 1.362 eV/atom; space group = Pmmm (47)
1.0
2.658 0.000 0.000
0.000 4.811 0.000
0.000 0.000 5.120
Os Be K
2 1 1
direct
0.000 0.000 0.000 Os
0.500 0.500 0.000 Os
0.500 0.000 0.500 Be
0.000 0.500 0.500 K


no.,total magnetic moment (Bohr magnetons per cell)
1,0.58
2,3.95
3,0.00